Material: LaSiIr2
Method: DFT, PBE
State: relaxed

Computed properties:
uncorrected formation energy = -0.084 eV per atom
ρ = 13.03 g cm⁻³
SG = R-3m, No. 166

POSCAR file:
```
LaSiIr2
1.0
-0.779 -4.054 -8.084
-0.036 -6.443 -6.394
-2.914 -5.551 -6.564
La Ir Si
1 2 1
Direct
0.250 0.250 0.250 La
0.481 0.481 0.481 Ir
0.019 0.019 0.019 Ir
0.750 0.750 0.750 Si
```

Material: Li2MnCd
Method: DFT, PBE
State: relaxed

Computed properties:
ρ = 4.30 g cm⁻³
energy of formation from the pure elements = 0.14 eV/atom
SG = P4mm, No. 99

POSCAR file:
```
Li2MnCd
1.0
3.314 0.000 0.000
0.000 3.314 0.000
0.000 0.000 6.369
Mn Li Cd
1 2 1
Direct
0.000 0.000 0.494 Mn
0.000 0.000 0.005 Li
0.500 0.500 0.252 Li
0.500 0.500 0.749 Cd
```